Density functional theory data (GGA-PBE) for crystalline ScTcHg2 at its relaxed geometry.

Results
- excess energy over the best structure of this formula in the dataset (eV/atom) = 0.120
- energy relative to the elements (eV/atom) = 0.161
- spin magnetization (Bohr magnetons per cell) = 0.6
- total DFT energy (no corrections) (eV per atom) = -4.164
- space-group type = Pmm2 (25)

Unit cell a=4.7520 b=3.1749 c=5.0928 alpha=90.00 beta=90.00 gamma=90.00
With the nearest neighbours (Å) after each atom.
Atoms (fractional coordinates):
1 Hg 0.0000 0.1250 0.9537  4 Sc 2.90-3.10, 4 Hg 2.93-3.17, 4 Tc 2.99
2 Hg 0.5000 0.1249 0.2915  4 Hg 2.93-3.17, 4 Tc 2.94-3.06, 4 Sc 3.01
3 Sc 0.0000 0.6254 0.4765  2 Tc 2.83, 8 Hg 2.90-3.10
4 Tc 0.5000 0.6246 0.7784  2 Sc 2.83, 8 Hg 2.94-3.06